# LuAg2Pd

A geometry-optimized LuAg2Pd structure (PBE, Alexandria).

## Properties
Calculated density ... 10.831 g cm⁻³
ΔE to the lowest computed polymorph ... 0.000 eV per atom
ΔE_f ... -0.407 eV per atom
Calculated volume ... 76.21 Å³ per cell

Cell: 4.681 4.035 4.035 Å, 90.00 90.00 90.00°
Element x y z (fractional)
Ag 0.000 0.000 0.500
Ag 0.000 0.500 0.000
Pd 0.500 0.000 0.000
Lu 0.500 0.500 0.500